# 1
! HgBi2Pd (PBE, relaxed); values from VASP
! ΔE_f = -0.091 eV/atom
! D(E_F) = 0.98 states/eV/cell
! crystal system = monoclinic
&SYSTEM
  ibrav = 0, nat = 4, ntyp = 3
/
ATOMIC_SPECIES
Hg 200.59 Hg.upf
Bi 208.98 Bi.upf
Pd 106.42 Pd.upf
CELL_PARAMETERS angstrom
-1.751 2.584 1.640
-3.158 -0.258 -2.966
-1.674 -4.529 5.352
ATOMIC_POSITIONS angstrom
Hg -2.413 -2.041 2.747
Bi -5.689 -2.048 3.061
Bi -3.854 0.580 0.879
Pd -1.031 -0.056 1.103

=====

# 2
! HgBi2Pd6 (PBE, relaxed); values from VASP
! ΔE to the lowest computed polymorph = 0 meV per atom
! ΔE_f = -0.206 eV/atom
! D(E_F) = 4.02 states/eV/cell
! crystal system = monoclinic
&SYSTEM
  ibrav = 0, nat = 9, ntyp = 3
/
ATOMIC_SPECIES
Hg 200.59 Hg.upf
Bi 208.98 Bi.upf
Pd 106.42 Pd.upf
CELL_PARAMETERS angstrom
4.968 -0.387 0.501
-2.819 4.110 -0.496
0.936 -0.553 8.717
ATOMIC_POSITIONS angstrom
Hg 0.468 -0.276 4.358
Bi 0.274 2.314 6.377
Bi 2.811 0.856 2.345
Pd 3.169 0.640 8.367
Pd -0.084 2.530 0.355
Pd -2.570 3.965 0.929
Pd 0.201 2.362 3.302
Pd 5.655 -0.795 7.793
Pd 2.885 0.808 5.420

=====

# 3
! HgBi3Pd3 (PBE, relaxed); values from VASP
! ΔE_f = -0.178 eV/atom
! D(E_F) = 6.39 states/eV/cell
! crystal system = trigonal
&SYSTEM
  ibrav = 0, nat = 14, ntyp = 3
/
ATOMIC_SPECIES
Hg 200.59 Hg.upf
Bi 208.98 Bi.upf
Pd 106.42 Pd.upf
CELL_PARAMETERS angstrom
-5.902 3.743 2.413
0.658 1.804 7.140
1.505 7.188 0.861
ATOMIC_POSITIONS angstrom
Hg -1.290 4.393 3.593
Hg -2.450 8.341 6.821
Bi -4.478 4.556 4.665
Bi 0.422 4.503 6.491
Bi -0.806 7.499 2.385
Bi -2.934 5.235 8.029
Bi -4.161 8.232 3.924
Bi 0.738 8.178 5.749
Pd -1.576 9.432 4.359
Pd -0.397 6.793 8.008
Pd -4.783 6.782 6.447
Pd 1.043 5.953 3.967
Pd -3.342 5.941 2.406
Pd -2.164 3.303 6.056

=====

# 4
! HgBi2Pd (PBE, relaxed); values from VASP
! ΔE_f = -0.113 eV/atom
! D(E_F) = 2.05 states/eV/cell
! crystal system = trigonal
&SYSTEM
  ibrav = 0, nat = 4, ntyp = 3
/
ATOMIC_SPECIES
Hg 200.59 Hg.upf
Bi 208.98 Bi.upf
Pd 106.42 Pd.upf
CELL_PARAMETERS angstrom
-1.054 3.830 1.927
-2.980 2.666 -1.872
-6.305 -0.944 3.486
ATOMIC_POSITIONS angstrom
Hg -5.178 2.771 1.776
Bi -5.417 -0.387 2.865
Bi -2.209 1.624 0.623
Pd -2.705 4.321 0.048

=====

# 5
! Hg2BiPd8 (PBE, relaxed); values from VASP
! ΔE to the lowest computed polymorph = 0 meV per atom
! ΔE_f = -0.172 eV/atom
! D(E_F) = 5.60 states/eV/cell
! crystal system = monoclinic
&SYSTEM
  ibrav = 0, nat = 11, ntyp = 3
/
ATOMIC_SPECIES
Hg 200.59 Hg.upf
Bi 208.98 Bi.upf
Pd 106.42 Pd.upf
CELL_PARAMETERS angstrom
-2.625 -0.260 -3.240
4.496 -2.983 -3.403
-2.332 -5.235 5.004
ATOMIC_POSITIONS angstrom
Hg -1.751 -4.164 -0.940
Hg 1.291 -4.314 -0.699
Bi -1.312 -0.130 -1.620
Pd -0.550 -6.011 0.928
Pd 1.482 -4.778 -3.510
Pd -0.271 -6.399 -1.960
Pd -3.419 -5.881 0.549
Pd -0.190 -2.079 0.321
Pd -1.942 -3.701 1.871
Pd 0.089 -2.468 -2.567
Pd 2.958 -2.598 -2.188

=====

# 6
! Hg2BiPd7 (PBE, relaxed); values from VASP
! ΔE_f = 0.232 eV/atom
! D(E_F) = 6.26 states/eV/cell
! crystal system = orthorhombic
&SYSTEM
  ibrav = 0, nat = 10, ntyp = 3
/
ATOMIC_SPECIES
Hg 200.59 Hg.upf
Bi 208.98 Bi.upf
Pd 106.42 Pd.upf
CELL_PARAMETERS angstrom
-0.309 4.065 1.306
-7.905 -0.825 0.695
5.225 -1.480 5.844
ATOMIC_POSITIONS angstrom
Hg -4.076 1.009 2.910
Hg 1.087 0.751 4.935
Bi 0.000 0.000 0.000
Pd -5.433 -0.948 1.665
Pd 2.753 -1.357 4.875
Pd 0.671 1.546 2.363
Pd -3.660 0.214 5.483
Pd -1.959 1.677 1.332
Pd -1.030 0.083 6.514
Pd -1.494 0.880 3.923